(1)
HgPb3Au3: optimized geometry, GGA-PBE.

a b c (Å): 7.9692 7.9692 7.9692
angles (deg): 90.00 90.00 90.00
Element x y z (fractional)
Hg: 0.0000 0.0000 0.0000
Hg: 0.5000 0.5000 0.5000
Pb: 0.0000 0.2500 0.5000
Pb: 0.0000 0.7500 0.5000
Pb: 0.2500 0.5000 0.0000
Pb: 0.5000 0.0000 0.2500
Pb: 0.5000 0.0000 0.7500
Pb: 0.7500 0.5000 0.0000
Au: 0.0000 0.5000 0.2500
Au: 0.0000 0.5000 0.7500
Au: 0.2500 0.0000 0.5000
Au: 0.5000 0.2500 0.0000
Au: 0.5000 0.7500 0.0000
Au: 0.7500 0.0000 0.5000

Properties
Calculated formation energy: 1.58 eV/f.u.
Distance to the lowest polymorph of the same formula: 1.50 eV per formula unit
Space-group type: Pm-3n



(2)
DyBSe: optimized geometry, GGA-PBE.

a b c (Å): 3.8421 3.8421 8.7492
angles (deg): 98.35 98.35 92.38
Element x y z (fractional)
Dy: 0.1699 0.1699 0.1753
Dy: 0.8301 0.8301 0.8247
B: 0.3566 0.3566 0.9400
B: 0.6434 0.6434 0.0600
Se: 0.2920 0.2920 0.6934
Se: 0.7080 0.7080 0.3066

Properties
Space-group type: C2/m
ΔE_f (raw): -765.8 meV/atom



(3)
Si3AsW: optimized geometry, GGA-PBE.

a b c (Å): 4.7816 4.7816 4.7816
angles (deg): 90.00 90.00 90.00
Element x y z (fractional)
Si: 0.0000 0.0000 0.5000
Si: 0.0000 0.5000 0.0000
Si: 0.5000 0.0000 0.0000
As: 0.5000 0.5000 0.5000
W: 0.0000 0.0000 0.0000

Properties
Distance to the lowest polymorph of the same formula: 0.00 eV per formula unit
Space-group type: Pm-3m
ΔE_f (raw): 869.3 meV/atom



Quick rundown of magnetic moment, same order as above: 0.0000 0.0000 0.0000 μB/atom